(1)
DyHfGa2Cu2 PBE-GGA optimized geometry; volume = 17.8 A^3/atom; mass density = 9.45 g/cm3; total DFT energy (no corrections) = -5.128 eV/atom
1.0
4.2842 0.0000 0.0000
-2.1421 3.7103 0.0000
0.0000 0.0000 6.7181
Dy Hf Ga Cu
1 1 2 2
Cartesian
0.0000 0.0000 0.0000
0.0000 0.0000 3.3590
0.0000 2.4735 1.8612
0.0000 2.4735 4.8569
2.1421 1.2368 1.9552
2.1421 1.2368 4.7629

***

(2)
NaAsPd PBE-GGA optimized geometry; volume = 20.0 A^3/atom; mass density = 5.65 g/cm3; total DFT energy (no corrections) = -3.376 eV/atom
1.0
6.2164 0.0000 0.0000
0.0000 6.2164 0.0000
0.0000 0.0000 6.2164
Na As Pd
4 4 4
Cartesian
0.0000 0.0000 0.0000
0.0000 3.1082 3.1082
3.1082 0.0000 3.1082
3.1082 3.1082 0.0000
1.5541 1.5541 4.6623
1.5541 4.6623 1.5541
4.6623 1.5541 1.5541
4.6623 4.6623 4.6623
1.5541 1.5541 1.5541
1.5541 4.6623 4.6623
4.6623 1.5541 4.6623
4.6623 4.6623 1.5541

***

(3)
Pr2NdAl3AgPt2 PBE-GGA optimized geometry; volume = 21.9 A^3/atom; mass density = 8.46 g/cm3; total DFT energy (no corrections) = -5.281 eV/atom
1.0
4.2739 0.0000 0.0000
0.0000 6.3220 3.6517
0.0000 -6.3220 3.6517
Pr Nd Al Ag Pt
2 1 3 1 2
Cartesian
0.0000 -3.6594 3.6517
0.0000 3.6594 3.6517
0.0000 0.0000 4.6170
2.1370 -1.5387 2.4384
2.1370 1.5387 2.4384
2.1370 0.0000 7.0526
0.0000 0.0000 1.5491
2.1370 -2.0925 5.1877
2.1370 2.0925 5.1877

***

(4)
Ho2GaPb PBE-GGA optimized geometry; volume = 26.2 A^3/atom; mass density = 9.61 g/cm3; total DFT energy (no corrections) = -4.507 eV/atom
1.0
4.1866 0.0000 0.0000
0.0000 4.4611 0.0000
0.0000 0.0000 11.2334
Ho Ga Pb
4 2 2
Cartesian
0.0000 0.0000 0.0000
0.0000 2.2305 5.6167
2.0933 0.0000 3.1254
2.0933 2.2305 8.7421
0.0000 0.0000 8.2733
0.0000 2.2305 2.6566
2.0933 0.0000 6.2958
2.0933 2.2305 0.6791

***

(5)
LiOsAu3Se4 PBE-GGA optimized geometry; volume = 25.0 A^3/atom; mass density = 8.15 g/cm3; total DFT energy (no corrections) = -3.949 eV/atom
1.0
6.0809 0.0000 0.0000
0.0000 6.0809 0.0000
0.0000 0.0000 6.0809
Li Os Au Se
1 1 3 4
Cartesian
0.0000 0.0000 0.0000
3.0405 3.0405 3.0405
0.0000 3.0405 3.0405
3.0405 0.0000 3.0405
3.0405 3.0405 0.0000
1.5548 1.5548 1.5548
1.5548 4.5261 4.5261
4.5261 1.5548 4.5261
4.5261 4.5261 1.5548

***

(6)
Li8Sm4O11 PBE-GGA optimized geometry; volume = 12.1 A^3/atom; polymorph energy (0 for the lowest one) = 34.7 meV/atom; mass density = 4.96 g/cm3; total DFT energy (no corrections) = -6.111 eV/atom
1.0
5.2378 0.0000 0.0000
1.2064 5.5036 0.0000
1.7156 0.6873 9.6755
Li Sm O
8 4 11
Cartesian
0.0000 0.0000 0.0000
1.9335 4.7170 5.0475
3.8769 3.6241 6.8979
2.5609 1.8795 0.2923
3.9522 0.6945 5.2569
4.6877 3.7229 4.5845
4.4187 0.4949 2.2707
5.5607 3.1112 1.2251
1.8772 1.9530 3.4986
3.1246 4.5395 1.9676
5.4789 5.4671 8.2672
6.5389 2.2041 6.8205
0.9533 1.1034 1.3924
3.1191 5.6607 7.7609
2.1475 3.8003 0.0008
2.9382 2.8939 5.3418
4.1391 5.4645 3.7985
4.5069 2.1289 7.9943
3.6908 2.3558 2.0212
4.8117 4.9415 0.6044
5.6266 4.2985 6.3047
5.7042 1.2318 5.0920
6.3154 4.0392 3.0986

***

(7)
Dy2TmGa4Ni PBE-GGA optimized geometry; volume = 21.1 A^3/atom; mass density = 8.17 g/cm3; total DFT energy (no corrections) = -4.367 eV/atom
1.0
6.4397 0.0000 0.0000
0.0000 3.8718 0.0000
0.0000 0.0000 13.5606
Dy Tm Ga Ni
4 2 8 2
Cartesian
0.0000 0.0000 0.0000
0.0000 1.9359 6.7803
3.2199 0.0000 6.2323
3.2199 1.9359 13.0126
0.0000 0.0000 3.6735
0.0000 1.9359 10.4538
1.5435 0.0000 8.6067
1.5435 1.9359 1.8264
1.9900 0.0000 11.1225
1.9900 1.9359 4.3422
4.4497 0.0000 11.1225
4.4497 1.9359 4.3422
4.8963 0.0000 8.6067
4.8963 1.9359 1.8264
3.2199 0.0000 2.4713
3.2199 1.9359 9.2516

***

(8)
Zr3Nb PBE-GGA optimized geometry; volume = 21.7 A^3/atom; mass density = 7.03 g/cm3; total DFT energy (no corrections) = -8.830 eV/atom; formation enthalpy at 0 K = 104 meV per atom
1.0
5.1877 0.0000 0.0000
0.0000 6.3633 0.0000
0.0000 0.0000 5.2477
Zr Nb
6 2
Cartesian
1.2969 6.3629 1.1833
1.2969 1.5908 3.7471
1.2969 3.1821 1.1833
3.8907 0.0004 4.0644
3.8907 3.1812 4.0644
3.8907 4.7725 1.5006
1.2969 4.7725 3.8118
3.8907 1.5908 1.4359